DFT (PBE) results for an optimized crystal structure of Mg2ScSe.

Output
ρ = 2.93 Mg/m³
SG = R-3m (166)
calculated total energy = -14.4 eV per cell

a b c (Å): 8.774 8.774 8.774
angles (deg): 23.96 23.96 23.96
Fractional positions:
1 Mg 0.482 0.482 0.482
2 Mg 0.018 0.018 0.018
3 Se 0.750 0.750 0.750
4 Sc 0.250 0.250 0.250